Computed, not measured: a geometry-optimized TiTcPdRu2 structure at the PBE level of DFT.

For the uncorrected energy, the calculation gives -7.137 eV/atom. As for the crystal system: tetragonal. The energy relative to the elements is 1.2645 eV per atom.

The space group is P4/mmm (No. 123) and the conventional cell measures 4.5579, 4.5579 and 4.7907 Å, with angles of 90.00, 90.00 and 90.00 degrees. The inequivalent atoms are Ti at (0.0000, 0.0000, 0.0000), Tc at (0.5000, 0.5000, 0.5000), Pd at (0.5000, 0.5000, 0.0000) and Ru at (0.0000, 0.5000, 0.5000).

=====

Computed, not measured: a geometry-optimized CsCd2Rh structure at the PBE level of DFT.

For the uncorrected energy, the calculation gives -1.898 eV/atom. As for the crystal system: cubic. The energy relative to the elements is 0.6109 eV per atom.

The space group is Fm-3m (No. 225) and the conventional cell measures 7.6112, 7.6112 and 7.6112 Å, with angles of 90.00, 90.00 and 90.00 degrees. The inequivalent atoms are Cs at (0.0000, 0.0000, 0.0000), Cd at (0.2500, 0.2500, 0.2500) and Rh at (0.0000, 0.0000, 0.5000).

=====

Computed, not measured: a geometry-optimized Nd2Al2Au structure at the PBE level of DFT.

For the uncorrected energy, the calculation gives -4.641 eV/atom. As for the crystal system: monoclinic. The energy relative to the elements is -0.5818 eV per atom.

The space group is C2/m (No. 12) and the conventional cell measures 10.9505, 4.6144 and 11.1257 Å, with angles of 90.00, 119.00 and 90.00 degrees. The inequivalent atoms are Nd at (0.0062, 0.0000, 0.3247), Nd at (0.1883, 0.0000, 0.1102), Al at (0.0161, 0.5000, 0.8878), Al at (0.1425, 0.5000, 0.5535) and Au at (0.2268, 0.5000, 0.3475).

=====

Computed, not measured: a geometry-optimized LiTlSb2H structure at the PBE level of DFT.

For the uncorrected energy, the calculation gives -2.218 eV/atom. As for the crystal system: tetragonal.

The space group is P4/mmm (No. 123) and the conventional cell measures 5.6980, 5.6980 and 5.5611 Å, with angles of 90.00, 90.00 and 90.00 degrees. The inequivalent atoms are Li at (0.0000, 0.0000, 0.0000), Tl at (0.0000, 0.0000, 0.5000), Sb at (0.0000, 0.5000, 0.5000) and H at (0.5000, 0.5000, 0.0000).

=====

Computed, not measured: a geometry-optimized CaZr2Ag2 structure at the PBE level of DFT.

For the uncorrected energy, the calculation gives -4.871 eV/atom. As for the crystal system: tetragonal. The energy relative to the elements is 0.0895 eV per atom.

The space group is P4/mbm (No. 127) and the conventional cell measures 8.6553, 8.6553 and 3.0544 Å, with angles of 90.00, 90.00 and 90.00 degrees. The inequivalent atoms are Ca at (0.0000, 0.0000, 0.0000), Zr at (0.1222, 0.3778, 0.0000) and Ag at (0.1737, 0.6737, 0.5000).

=====

Computed, not measured: a geometry-optimized SmDy8C4 structure at the PBE level of DFT.

For the uncorrected energy, the calculation gives -6.210 eV/atom. As for the crystal system: monoclinic. The energy relative to the elements is -0.1770 eV per atom.

The space group is C2/m (No. 12) and the conventional cell measures 18.0836, 3.5993 and 12.4497 Å, with angles of 90.00, 132.23 and 90.00 degrees. The inequivalent atoms are Sm at (0.0000, 0.0000, 0.0000), Dy at (0.0415, 0.0000, 0.7313), Dy at (0.1392, 0.5000, 0.5979), Dy at (0.1644, 0.5000, 0.3484), Dy at (0.2064, 0.5000, 0.0645), C at (0.1490, 0.0000, 0.4685) and C at (0.1674, 0.5000, 0.8261).